[1]
A relaxed RbSmPt crystal, computed with PBE.

As for the offset from the most stable computed form: 0 meV/atom.

The structure belongs to space group F-43m (No. 216); the cell edges are 7.239, 7.239 and 7.239 Å and the angles 90.00°, 90.00° and 90.00°. The inequivalent atoms are Rb at (0.000, 0.000, 0.000), Sm at (0.000, 0.000, 0.500) and Pt at (0.250, 0.250, 0.250).

---

[2]
A relaxed MgNbOs2 crystal, computed with PBE.

The structure belongs to space group P6_3/mmc (No. 194); the cell edges are 4.5279, 4.5279 and 7.6851 Å and the angles 90.00°, 90.00° and 120.00°. The inequivalent atoms are Mg at (0.0000, 0.0000, 0.2500), Nb at (0.3333, 0.6667, 0.2500) and Os at (0.3333, 0.6667, 0.5850).

---

[3]
A relaxed Gd3ZnIn2NiIr2 crystal, computed with PBE.

The structure belongs to space group Amm2 (No. 38); the cell edges are 3.848, 12.922 and 7.463 Å and the angles 90.00°, 90.00° and 90.00°. The inequivalent atoms are Gd at (0.000, 0.000, 0.000), Gd at (0.000, 0.201, 0.368), Zn at (0.500, 0.000, 0.326), In at (0.500, 0.121, 0.698), Ni at (0.000, 0.000, 0.560) and Ir at (0.500, 0.166, 0.076).

---

Number 1: raw total energy -3.97 eV/atom. Number 2: raw total energy -8.00 eV/atom. Number 3: raw total energy -5.52 eV/atom.